1.
Material: Tb2PmDy6Y2
Method: DFT, PBE-GGA
State: relaxed

Cell and atoms, written as POSCAR:
```
Tb2PmDy6Y2
1.0
6.601 -0.618 -0.515
-3.800 5.433 -0.515
-1.829 -3.143 11.424
Dy Pm Y Tb
6 1 2 2
Cartesian
0.018 3.673 1.630
0.955 -2.001 8.764
0.692 1.190 7.387
-2.211 -0.158 8.764
0.281 0.483 3.008
3.185 1.831 1.630
-0.914 -1.572 5.712
5.187 0.205 -0.515
-2.386 4.611 -0.515
-1.630 2.067 5.197
2.603 -0.395 5.197
```

Raw total energy, eV/atom: -4.798
Symmetry: C2/m, No. 12
Formation energy, meV/atom: 161



2.
Material: SrZrPb2
Method: DFT, PBE-GGA
State: relaxed

Cell and atoms, written as POSCAR:
```
SrZrPb2
1.0
-2.914 -5.102 2.513
-2.225 -4.560 -3.885
5.406 3.298 0.859
Pb Zr Sr
2 1 1
Cartesian
-0.001 -0.002 0.000
-0.039 -3.318 1.343
0.306 -3.046 -1.856
-2.569 -4.830 -0.686
```

Raw total energy, eV/atom: -4.507
Symmetry: I-4m2, No. 119
Formation energy, meV/atom: -96



3.
Material: Cs2KRb
Method: DFT, PBE-GGA
State: relaxed

Cell and atoms, written as POSCAR:
```
Cs2KRb
1.0
-8.711 -7.340 -6.006
9.042 -8.889 -2.250
-0.922 -10.293 0.111
Cs Rb K
4 2 2
Cartesian
-4.474 -8.213 -3.959
-0.475 -21.849 -7.123
4.261 -9.106 -2.178
-0.494 -13.878 -3.031
-4.733 -12.874 -5.012
0.000 0.000 0.000
0.165 -8.115 -4.128
4.143 -13.649 -3.133
```

Raw total energy, eV/atom: -0.880
Symmetry: I-42d, No. 122
Formation energy, meV/atom: 63
Energy above the most stable polymorph in this dataset, kJ/mol of formula units: 23.4



4.
Material: FeSb2I
Method: DFT, PBE-GGA
State: relaxed

Cell and atoms, written as POSCAR:
```
FeSb2I
1.0
6.611 0.000 0.000
0.000 6.611 0.000
3.306 3.306 6.013
Sb Fe I
4 2 2
Cartesian
4.084 1.653 1.503
8.264 7.390 4.510
4.958 5.832 4.510
2.527 4.958 1.503
3.306 3.306 0.000
3.306 6.611 3.007
0.000 0.000 0.000
6.611 3.306 3.007
```

Raw total energy, eV/atom: -4.238
Symmetry: I-42d, No. 122
Energy relative to the elements, uncorrected, meV per atom: 326
Energy above the most stable polymorph in this dataset, kJ/mol of formula units: 0.0



5.
Material: PrSc2Hg
Method: DFT, PBE-GGA
State: relaxed

Cell and atoms, written as POSCAR:
```
PrSc2Hg
1.0
-3.097 -0.976 0.849
-2.175 -0.940 -2.378
1.790 -11.116 0.388
Hg Sc Pr
1 2 1
Cartesian
-1.741 -6.516 -0.571
-4.236 -4.974 -1.267
0.755 -8.058 0.126
0.000 0.000 0.000
```

Raw total energy, eV/atom: -4.361
Symmetry: R-3m, No. 166
Formation energy, meV/atom: 75
Energy above the most stable polymorph in this dataset, kJ/mol of formula units: 101.5



6.
Material: Ac2HPt6Pb
Method: DFT, PBE-GGA
State: relaxed

Cell and atoms, written as POSCAR:
```
Ac2HPt6Pb
1.0
7.377 0.003 -1.020
-0.001 5.924 0.002
2.967 2.962 4.188
Ac Pt Pb H
2 6 1 1
Cartesian
3.626 5.925 1.620
6.715 2.964 1.551
1.420 1.477 0.030
2.897 2.962 2.136
8.922 4.440 3.141
1.419 4.449 0.030
8.921 7.412 3.141
7.444 5.927 1.035
3.688 2.964 -0.509
0.000 0.000 0.000
```

Raw total energy, eV/atom: -5.763
Symmetry: C2/m, No. 12



7.
Material: Cs5K3Rb
Method: DFT, PBE-GGA
State: relaxed

Cell and atoms, written as POSCAR:
```
Cs5K3Rb
1.0
9.941 0.000 0.000
0.000 12.357 -7.135
0.000 0.000 14.268
Cs K Rb
10 6 2
Cartesian
0.000 8.238 0.000
2.485 8.330 -4.810
4.970 4.119 7.134
7.455 4.027 -2.325
2.485 4.029 2.326
7.455 12.357 -2.482
7.455 8.328 4.808
2.485 0.000 9.616
0.000 4.119 7.134
4.970 8.238 0.000
2.485 4.148 -2.395
2.485 0.001 4.790
7.455 12.356 2.344
7.455 4.148 2.396
2.485 8.209 4.738
7.455 8.209 -4.740
0.000 0.000 0.000
4.970 0.000 0.000
```

Raw total energy, eV/atom: -0.934
Symmetry: P6_3/mcm, No. 193
Formation energy, meV/atom: 13



8.
Material: Sm4Tm3Th
Method: DFT, PBE-GGA
State: relaxed

Cell and atoms, written as POSCAR:
```
Sm4Tm3Th
1.0
3.420 0.000 -0.432
-0.175 6.615 -1.390
-0.245 -0.925 11.826
Tm Sm Th
3 4 1
Cartesian
2.795 0.073 8.387
0.204 5.616 1.618
-0.088 3.307 -0.695
2.705 3.500 7.673
2.375 1.105 5.053
0.625 4.584 4.952
0.294 2.189 2.332
1.710 0.000 -0.216
```

Raw total energy, eV/atom: -4.787
Symmetry: C2/m, No. 12
Formation energy, meV/atom: 177
Energy above the most stable polymorph in this dataset, kJ/mol of formula units: 108.9



9.
Material: ThZrIn
Method: DFT, PBE-GGA
State: relaxed

Cell and atoms, written as POSCAR:
```
ThZrIn
1.0
0.538 -2.390 -5.584
-0.144 -3.475 5.008
-5.361 2.463 1.540
Zr Th In
2 2 2
Cartesian
-0.072 -1.737 2.504
0.269 -1.195 -2.792
-1.806 -0.092 -0.297
-3.161 -3.310 1.261
-2.753 -0.506 3.274
0.197 -2.933 -0.288
```

Raw total energy, eV/atom: -6.456
Symmetry: Imma, No. 74
Formation energy, meV/atom: -221
Energy above the most stable polymorph in this dataset, kJ/mol of formula units: 0.0



10.
Material: CaLa2InCo
Method: DFT, PBE-GGA
State: relaxed

Cell and atoms, written as POSCAR:
```
CaLa2InCo
1.0
5.227 0.000 0.000
0.000 5.227 0.000
0.000 0.000 5.524
La Ca Co In
2 1 1 1
Cartesian
2.613 0.000 0.000
0.000 2.613 0.000
0.000 0.000 2.762
0.000 0.000 0.000
2.613 2.613 2.762
```

Raw total energy, eV/atom: -4.555
Symmetry: P4/mmm, No. 123
Formation energy, meV/atom: -214
Energy above the most stable polymorph in this dataset, kJ/mol of formula units: 0.0



11.
Material: Mg12GaPd6
Method: DFT, PBE-GGA
State: relaxed

Cell and atoms, written as POSCAR:
```
Mg12GaPd6
1.0
-6.838 -1.281 0.946
1.063 -0.988 6.869
-1.178 6.810 1.234
Mg Pd Ga
12 6 1
Cartesian
-0.635 -0.472 2.685
-2.680 0.525 0.613
-1.505 3.194 4.086
-6.595 2.194 7.566
-4.273 4.016 8.436
-2.694 2.298 6.603
-4.153 4.385 4.435
-0.358 2.347 1.483
-6.318 5.013 6.364
-5.449 1.347 4.963
-2.801 0.157 4.614
-4.260 2.243 2.446
-2.099 4.972 6.291
-6.614 3.508 3.556
-2.655 4.523 1.962
-4.854 -0.431 2.758
-0.339 1.033 5.493
-4.299 0.018 7.087
0.000 0.000 0.000
```

Raw total energy, eV/atom: -3.278
Symmetry: R-3, No. 148
Formation energy, meV/atom: -471
Energy above the most stable polymorph in this dataset, kJ/mol of formula units: 0.0



12.
Material: OsBr5
Method: DFT, PBE-GGA
State: relaxed

Cell and atoms, written as POSCAR:
```
OsBr5
1.0
3.100 0.000 0.000
0.000 3.100 0.000
0.000 0.000 17.724
Br Os
5 1
Cartesian
1.550 1.550 12.929
1.550 1.550 4.795
0.000 0.000 1.591
0.000 0.000 8.862
0.000 0.000 16.133
1.550 1.550 0.000
```

Raw total energy, eV/atom: -2.555
Symmetry: P4/mmm, No. 123
Energy relative to the elements, uncorrected, meV per atom: 711
Energy above the most stable polymorph in this dataset, kJ/mol of formula units: 303.4



13.
Material: Pm3Nd2Ho3
Method: DFT, PBE-GGA
State: relaxed

Cell and atoms, written as POSCAR:
```
Pm3Nd2Ho3
1.0
-1.464 -0.749 4.830
4.266 -2.676 0.878
3.396 10.272 -0.073
Ho Nd Pm
3 2 3
Cartesian
-0.732 -0.374 2.415
3.608 6.439 2.092
2.590 0.409 3.544
4.528 2.936 1.828
1.669 3.911 3.808
5.017 4.740 4.951
1.181 2.107 0.685
2.133 -1.338 0.439
```

Raw total energy, eV/atom: -4.672
Symmetry: Immm, No. 71
Formation energy, meV/atom: 18
Energy above the most stable polymorph in this dataset, kJ/mol of formula units: 0.0



14.
Material: Ta5Mo3
Method: DFT, PBE-GGA
State: relaxed

Cell and atoms, written as POSCAR:
```
Ta5Mo3
1.0
9.521 -0.001 0.004
-7.826 5.422 0.004
0.300 0.960 2.668
Mo Ta
3 5
Cartesian
-0.692 5.207 1.340
1.669 5.422 0.018
1.126 3.685 2.662
3.519 3.890 1.340
-1.522 2.491 1.336
2.679 1.177 1.336
-3.162 5.020 2.647
5.210 1.345 0.029
```

Raw total energy, eV/atom: -11.552
Symmetry: C2, No. 5
Formation energy, meV/atom: -83
Energy above the most stable polymorph in this dataset, kJ/mol of formula units: 69.5



15.
Material: TmHfBeTc
Method: DFT, PBE-GGA
State: relaxed

Cell and atoms, written as POSCAR:
```
TmHfBeTc
1.0
4.665 0.000 0.000
2.333 4.040 0.000
2.333 1.347 3.809
Hf Tm Tc Be
1 1 1 1
Cartesian
4.665 2.693 1.905
0.000 0.000 0.000
2.333 1.347 0.952
6.998 4.040 2.857
```

Raw total energy, eV/atom: -7.228
Symmetry: F-43m, No. 216
Formation energy, meV/atom: -98



16.
Material: BaPS4
Method: DFT, PBE-GGA
State: relaxed

Cell and atoms, written as POSCAR:
```
BaPS4
1.0
-1.036 -5.949 -0.932
3.915 0.053 -4.691
5.198 0.927 8.329
S Ba P
8 2 2
Cartesian
3.382 -3.197 -3.378
5.484 -0.705 -1.596
5.860 -2.881 0.879
1.232 -3.227 -0.802
3.334 -0.734 0.980
6.429 0.386 1.391
5.486 -3.390 4.540
6.055 -0.123 5.052
0.000 0.000 0.000
2.801 -3.985 2.293
5.276 -0.984 0.413
1.439 -2.948 -2.811
```

Raw total energy, eV/atom: -4.711
Symmetry: I4_1/amd, No. 141
Energy relative to the elements, uncorrected, meV per atom: -737



17.
Material: Ce2Tl2Ag
Method: DFT, PBE-GGA
State: relaxed

Cell and atoms, written as POSCAR:
```
Ce2Tl2Ag
1.0
4.295 0.000 1.297
1.843 5.684 1.658
-1.085 0.103 11.350
Ce Ag Tl
4 2 4
Cartesian
2.227 4.721 12.025
3.996 1.828 6.170
2.827 1.066 2.281
1.058 3.959 8.136
2.185 4.289 4.406
2.869 1.498 9.900
3.855 5.070 6.634
1.198 0.717 7.672
4.809 3.507 3.474
0.244 2.280 10.831
```

Raw total energy, eV/atom: -3.968
Symmetry: Immm, No. 71
Formation energy, meV/atom: -77
Energy above the most stable polymorph in this dataset, kJ/mol of formula units: 42.3



18.
Material: SrSeBr2
Method: DFT, PBE-GGA
State: relaxed

Cell and atoms, written as POSCAR:
```
SrSeBr2
1.0
4.108 0.000 0.000
0.000 4.109 0.000
0.000 0.000 7.207
Br Sr Se
2 1 1
Cartesian
0.000 0.000 3.780
0.000 0.000 7.030
2.054 2.055 5.405
2.054 2.055 1.802
```

Raw total energy, eV/atom: -3.015
Symmetry: P4/mmm, No. 123
Energy relative to the elements, uncorrected, meV per atom: -887
Energy above the most stable polymorph in this dataset, kJ/mol of formula units: 166.3



19.
Material: La4DyHo2Tm
Method: DFT, PBE-GGA
State: relaxed

Cell and atoms, written as POSCAR:
```
La4DyHo2Tm
1.0
5.252 0.000 0.000
0.000 5.061 1.305
0.000 2.601 10.855
La Dy Ho Tm
4 1 2 1
Cartesian
2.626 4.444 3.701
0.000 1.914 3.049
2.626 3.218 8.458
5.252 5.748 9.111
2.626 5.131 11.507
2.626 1.300 5.427
0.000 2.601 10.855
0.000 3.831 6.080
```

Raw total energy, eV/atom: -4.720
Symmetry: Pmmm, No. 47
Formation energy, meV/atom: 22



20.
Material: ZnRe2Ni
Method: DFT, PBE-GGA
State: relaxed

Cell and atoms, written as POSCAR:
```
ZnRe2Ni
1.0
8.721 -0.002 -0.001
8.289 2.711 -0.001
8.289 1.320 2.368
Zn Re Ni
1 2 1
Cartesian
12.527 1.995 1.171
0.049 0.008 0.005
6.375 1.015 0.596
18.998 3.026 1.777
```

Raw total energy, eV/atom: -7.948
Symmetry: R3m, No. 160
Formation energy, meV/atom: 40



21.
Material: KCr2PbCl
Method: DFT, PBE-GGA
State: relaxed

Cell and atoms, written as POSCAR:
```
KCr2PbCl
1.0
-4.683 0.535 1.808
0.806 -4.780 3.503
1.758 2.987 3.670
Cr Cl Pb K
2 1 1 1
Cartesian
-2.342 0.268 0.904
0.879 1.493 1.835
0.000 0.000 0.000
0.403 -2.390 1.752
-1.059 -0.629 4.491
```

Raw total energy, eV/atom: -4.479
Symmetry: P4/mmm, No. 123
Energy relative to the elements, uncorrected, meV per atom: 700